TmHfZr2As4 | PBE | optimized geometry

Lattice parameters (Å, degrees): 3.891 6.757 6.777 109.31 90.00 90.00
Atoms (fractional coordinates):
As 0.000 0.256 0.751
As 0.500 0.743 0.747
As 0.500 0.257 0.253
As 0.000 0.744 0.249
Zr 0.500 0.000 0.500
Zr 0.000 0.500 0.500
Hf 0.500 0.500 0.000
Tm 0.000 0.000 0.000

Output
The energy is -7.41 eV per atom. The crystal system is monoclinic. As for the calculated formation energy: -9.17 eV/f.u.